<a>
A plane-wave DFT calculation with GGA-PBE was carried out for an optimized crystal structure of Dy2Ho6Tl.

The space group is P4_2/mnm (No. 136) and the conventional cell measures 10.5688, 10.5688 and 4.8656 Å, with angles of 90.00, 90.00 and 90.00 degrees. The distinct sites, in fractional coordinates, are Dy at (0.1625, 0.1625, 0.0000), Ho at (0.0003, 0.3360, 0.5000), Ho at (0.1623, 0.8377, 0.0000) and Tl at (0.0000, 0.0000, 0.5000).

=====

<b>
A plane-wave DFT calculation with GGA-PBE was carried out for an optimized crystal structure of Dy2Ho6Tl.

The space group is C2/c (No. 15) and the conventional cell measures 20.8503, 6.1785 and 8.9168 Å, with angles of 90.00, 109.19 and 90.00 degrees. The distinct sites, in fractional coordinates, are Dy at (0.2228, 0.1693, 0.3049), Ho at (0.0537, 0.3308, 0.1363), Ho at (0.1086, 0.1501, 0.5289), Ho at (0.1627, 0.3370, 0.9175) and Tl at (0.0000, 0.1646, 0.7500).

=====

Order from most stable to least stable according to the calculation: <b>, <a>